# 1
{"formula": "LaInS2Cl", "functional": "PBE", "state": "relaxed", "cell": [[5.527, 0.000, 0.000], [0.000, 5.527, 0.000], [0.000, 0.000, 5.623]], "species": ["Cl", "S", "S", "In", "La"], "fractional_positions": [[0.000, 0.000, 0.500], [0.000, 0.500, 0.000], [0.500, 0.000, 0.000], [0.500, 0.500, 0.500], [0.000, 0.000, 0.000]], "space_group": "P4/mmm, No. 123", "magmom_total_mub_per_cell": 0.34, "e_above_lowest_polymorph_ev_per_atom": 0.000}



# 2
{"formula": "CrNiRuI2", "functional": "PBE", "state": "relaxed", "cell": [[5.144, 0.000, 0.000], [0.000, 4.712, 0.000], [0.000, 0.000, 5.144]], "species": ["I", "I", "Ru", "Cr", "Ni"], "fractional_positions": [[0.000, 0.000, 0.500], [0.500, 0.000, 0.000], [0.000, 0.500, 0.000], [0.500, 0.500, 0.500], [0.000, 0.000, 0.000]], "total_energy_ev_per_cell": -22.33, "space_group": "P4/mmm, No. 123", "magmom_total_mub_per_cell": 2.14}



# 3
{"formula": "Cs2TlVS4", "functional": "PBE", "state": "relaxed", "cell": [[7.177, 0.000, 0.000], [3.589, 6.734, 0.000], [3.589, 0.000, 12.512]], "species": ["Cs", "Cs", "Cs", "Cs", "Tl", "Tl", "V", "V", "S", "S", "S", "S", "S", "S", "S", "S"], "fractional_positions": [[0.182, 0.000, 0.637], [0.818, 0.000, 0.363], [0.568, 0.500, 0.863], [0.932, 0.500, 0.137], [0.750, 0.500, 0.500], [0.000, 0.000, 0.000], [0.250, 0.500, 0.500], [0.500, 0.000, 0.000], [0.364, 0.816, 0.099], [0.278, 0.184, 0.901], [0.820, 0.816, 0.901], [0.538, 0.184, 0.099], [0.386, 0.684, 0.401], [0.472, 0.316, 0.599], [0.930, 0.684, 0.599], [0.212, 0.316, 0.401]], "total_energy_ev_per_cell": -74.42, "space_group": "Fddd, No. 70", "magmom_total_mub_per_cell": 0.00}